Entry 1:
# PBE Al2TlP2, relaxed
data_Al2TlP2
_space_group_name_H-M_alt 'P 1'
_space_group_IT_number 1
_cell_length_a 4.618
_cell_length_b 4.618
_cell_length_c 5.809
_cell_angle_alpha 66.58
_cell_angle_beta 66.58
_cell_angle_gamma 90.00
loop_
_space_group_symop_operation_xyz
'x,y,z'
loop_
_atom_site_label
_atom_site_type_symbol
_atom_site_fract_x
_atom_site_fract_y
_atom_site_fract_z
P1 P 0.750 0.250 0.500
P2 P 0.250 0.750 0.500
Tl1 Tl 0.000 0.000 0.000
Al1 Al 0.359 0.359 0.282
Al2 Al 0.641 0.641 0.718
# Uncorrected energy = -20.81 eV for the cell shown
# Space-group type = I4/mmm, No. 139
# Formation enthalpy at 0 K = -28 meV per atom
# Total moment = 0.0 μB/f.u.
# DOS at the Fermi energy = 1.51 states/eV/f.u.

Entry 2:
# PBE Al2TlP, relaxed
data_Al2TlP
_space_group_name_H-M_alt 'P 1'
_space_group_IT_number 1
_cell_length_a 4.836
_cell_length_b 4.836
_cell_length_c 4.836
_cell_angle_alpha 60.00
_cell_angle_beta 60.00
_cell_angle_gamma 60.00
loop_
_space_group_symop_operation_xyz
'x,y,z'
loop_
_atom_site_label
_atom_site_type_symbol
_atom_site_fract_x
_atom_site_fract_y
_atom_site_fract_z
P1 P 0.000 0.000 0.000
Tl1 Tl 0.500 0.500 0.500
Al1 Al 0.250 0.250 0.250
Al2 Al 0.750 0.750 0.750
# Uncorrected energy = -13.68 eV for the cell shown
# Space-group type = Fm-3m, No. 225
# Formation enthalpy at 0 K = 395 meV per atom
# Total moment = 0.0 μB/f.u.
# DOS at the Fermi energy = 2.36 states/eV/f.u.

Entry 3:
# PBE AlTlP2, relaxed
data_AlTlP2
_space_group_name_H-M_alt 'P 1'
_space_group_IT_number 1
_cell_length_a 6.968
_cell_length_b 6.968
_cell_length_c 6.968
_cell_angle_alpha 31.02
_cell_angle_beta 31.02
_cell_angle_gamma 31.02
loop_
_space_group_symop_operation_xyz
'x,y,z'
loop_
_atom_site_label
_atom_site_type_symbol
_atom_site_fract_x
_atom_site_fract_y
_atom_site_fract_z
P1 P 0.017 0.017 0.017
P2 P 0.483 0.483 0.483
Tl1 Tl 0.250 0.250 0.250
Al1 Al 0.750 0.750 0.750
# Uncorrected energy = -16.81 eV for the cell shown
# Space-group type = R-3m, No. 166
# Formation enthalpy at 0 K = 30 meV per atom
# Total moment = 0.0 μB/f.u.
# DOS at the Fermi energy = 2.00 states/eV/f.u.

Entry 4:
# PBE AlTl2P, relaxed
data_AlTl2P
_space_group_name_H-M_alt 'P 1'
_space_group_IT_number 1
_cell_length_a 3.186
_cell_length_b 3.186
_cell_length_c 9.717
_cell_angle_alpha 90.00
_cell_angle_beta 90.00
_cell_angle_gamma 90.00
loop_
_space_group_symop_operation_xyz
'x,y,z'
loop_
_atom_site_label
_atom_site_type_symbol
_atom_site_fract_x
_atom_site_fract_y
_atom_site_fract_z
P1 P 0.500 0.500 0.750
Tl1 Tl 0.000 0.000 0.979
Tl2 Tl 0.000 0.000 0.521
Al1 Al 0.500 0.500 0.250
# Uncorrected energy = -12.05 eV for the cell shown
# Space-group type = P4/mmm, No. 123
# Formation enthalpy at 0 K = 458 meV per atom
# Total moment = 0.0 μB/f.u.
# DOS at the Fermi energy = 2.03 states/eV/f.u.

Entry 5:
# PBE Al2TlP, relaxed
data_Al2TlP
_space_group_name_H-M_alt 'P 1'
_space_group_IT_number 1
_cell_length_a 3.435
_cell_length_b 3.435
_cell_length_c 7.383
_cell_angle_alpha 90.00
_cell_angle_beta 90.00
_cell_angle_gamma 90.00
loop_
_space_group_symop_operation_xyz
'x,y,z'
loop_
_atom_site_label
_atom_site_type_symbol
_atom_site_fract_x
_atom_site_fract_y
_atom_site_fract_z
P1 P 0.000 0.000 0.377
Tl1 Tl 0.500 0.500 0.773
Al1 Al 0.000 0.000 0.051
Al2 Al 0.500 0.500 0.298
# Uncorrected energy = -15.16 eV for the cell shown
# Space-group type = P4mm, No. 99
# Formation enthalpy at 0 K = 26 meV per atom
# Total moment = 0.0 μB/f.u.
# DOS at the Fermi energy = 1.13 states/eV/f.u.

Entry 6:
# PBE AlTl3P, relaxed
data_AlTl3P
_space_group_name_H-M_alt 'P 1'
_space_group_IT_number 1
_cell_length_a 5.344
_cell_length_b 5.344
_cell_length_c 5.344
_cell_angle_alpha 90.00
_cell_angle_beta 90.00
_cell_angle_gamma 90.00
loop_
_space_group_symop_operation_xyz
'x,y,z'
loop_
_atom_site_label
_atom_site_type_symbol
_atom_site_fract_x
_atom_site_fract_y
_atom_site_fract_z
P1 P 0.500 0.500 0.500
Tl1 Tl 0.000 0.500 0.000
Tl2 Tl 0.000 0.000 0.500
Tl3 Tl 0.500 0.000 0.000
Al1 Al 0.000 0.000 0.000
# Uncorrected energy = -13.17 eV for the cell shown
# Space-group type = Pm-3m, No. 221
# Formation enthalpy at 0 K = 617 meV per atom
# Total moment = 0.6 μB/f.u.
# DOS at the Fermi energy = 2.93 states/eV/f.u.

Entry 7:
# PBE AlTlP2, relaxed
data_AlTlP2
_space_group_name_H-M_alt 'P 1'
_space_group_IT_number 1
_cell_length_a 3.352
_cell_length_b 3.352
_cell_length_c 7.505
_cell_angle_alpha 90.00
_cell_angle_beta 90.00
_cell_angle_gamma 90.00
loop_
_space_group_symop_operation_xyz
'x,y,z'
loop_
_atom_site_label
_atom_site_type_symbol
_atom_site_fract_x
_atom_site_fract_y
_atom_site_fract_z
P1 P 0.000 0.000 0.061
P2 P 0.500 0.500 0.124
Tl1 Tl 0.000 0.000 0.513
Al1 Al 0.500 0.500 0.803
# Uncorrected energy = -15.99 eV for the cell shown
# Space-group type = P4mm, No. 99
# Formation enthalpy at 0 K = 235 meV per atom
# Total moment = 0.0 μB/f.u.
# DOS at the Fermi energy = 1.10 states/eV/f.u.

Entry 8:
# PBE AlTlP2, relaxed
data_AlTlP2
_space_group_name_H-M_alt 'P 1'
_space_group_IT_number 1
_cell_length_a 6.523
_cell_length_b 6.523
_cell_length_c 5.061
_cell_angle_alpha 140.85
_cell_angle_beta 140.85
_cell_angle_gamma 58.71
loop_
_space_group_symop_operation_xyz
'x,y,z'
loop_
_atom_site_label
_atom_site_type_symbol
_atom_site_fract_x
_atom_site_fract_y
_atom_site_fract_z
P1 P 0.856 0.144 0.000
P2 P 0.288 0.712 0.500
Tl1 Tl 0.446 0.554 0.000
Al1 Al 0.909 0.091 0.500
# Uncorrected energy = -16.48 eV for the cell shown
# Space-group type = Amm2, No. 38
# Formation enthalpy at 0 K = 112 meV per atom
# Total moment = 0.0 μB/f.u.
# DOS at the Fermi energy = 1.25 states/eV/f.u.

Entry 9:
# PBE Al2TlP, relaxed
data_Al2TlP
_space_group_name_H-M_alt 'P 1'
_space_group_IT_number 1
_cell_length_a 3.617
_cell_length_b 3.617
_cell_length_c 7.495
_cell_angle_alpha 76.47
_cell_angle_beta 76.47
_cell_angle_gamma 59.98
loop_
_space_group_symop_operation_xyz
'x,y,z'
loop_
_atom_site_label
_atom_site_type_symbol
_atom_site_fract_x
_atom_site_fract_y
_atom_site_fract_z
P1 P 0.750 0.750 0.750
Tl1 Tl 0.250 0.250 0.250
Al1 Al 0.021 0.021 0.944
Al2 Al 0.479 0.479 0.556
# Uncorrected energy = -15.48 eV for the cell shown
# Space-group type = C2/m, No. 12
# Formation enthalpy at 0 K = -55 meV per atom
# Total moment = 0.0 μB/f.u.
# DOS at the Fermi energy = 1.64 states/eV/f.u.

Entry 10:
# PBE Al2TlP, relaxed
data_Al2TlP
_space_group_name_H-M_alt 'P 1'
_space_group_IT_number 1
_cell_length_a 3.889
_cell_length_b 5.002
_cell_length_c 4.141
_cell_angle_alpha 90.00
_cell_angle_beta 90.00
_cell_angle_gamma 90.00
loop_
_space_group_symop_operation_xyz
'x,y,z'
loop_
_atom_site_label
_atom_site_type_symbol
_atom_site_fract_x
_atom_site_fract_y
_atom_site_fract_z
P1 P 0.500 0.000 0.500
Tl1 Tl 0.000 0.500 0.500
Al1 Al 0.000 0.000 0.000
Al2 Al 0.500 0.500 0.000
# Uncorrected energy = -13.79 eV for the cell shown
# Space-group type = Pmmm, No. 47
# Formation enthalpy at 0 K = 368 meV per atom
# Total moment = 0.0 μB/f.u.
# DOS at the Fermi energy = 1.00 states/eV/f.u.

Entry 11:
# PBE AlTlP2, relaxed
data_AlTlP2
_space_group_name_H-M_alt 'P 1'
_space_group_IT_number 1
_cell_length_a 9.111
_cell_length_b 9.111
_cell_length_c 9.111
_cell_angle_alpha 20.88
_cell_angle_beta 20.88
_cell_angle_gamma 20.88
loop_
_space_group_symop_operation_xyz
'x,y,z'
loop_
_atom_site_label
_atom_site_type_symbol
_atom_site_fract_x
_atom_site_fract_y
_atom_site_fract_z
P1 P 0.992 0.992 0.992
P2 P 0.277 0.277 0.277
Tl1 Tl 0.497 0.497 0.497
Al1 Al 0.734 0.734 0.734
# Uncorrected energy = -16.20 eV for the cell shown
# Space-group type = R3m, No. 160
# Formation enthalpy at 0 K = 181 meV per atom
# Total moment = 0.0 μB/f.u.
# DOS at the Fermi energy = 3.27 states/eV/f.u.

Entry 12:
# PBE Al2TlP2, relaxed
data_Al2TlP2
_space_group_name_H-M_alt 'P 1'
_space_group_IT_number 1
_cell_length_a 4.009
_cell_length_b 4.009
_cell_length_c 7.448
_cell_angle_alpha 74.39
_cell_angle_beta 74.39
_cell_angle_gamma 90.00
loop_
_space_group_symop_operation_xyz
'x,y,z'
loop_
_atom_site_label
_atom_site_type_symbol
_atom_site_fract_x
_atom_site_fract_y
_atom_site_fract_z
P1 P 0.352 0.352 0.296
P2 P 0.648 0.648 0.704
Tl1 Tl 0.000 0.000 0.000
Al1 Al 0.750 0.250 0.500
Al2 Al 0.250 0.750 0.500
# Uncorrected energy = -21.65 eV for the cell shown
# Space-group type = I4/mmm, No. 139
# Formation enthalpy at 0 K = -195 meV per atom
# Total moment = 0.0 μB/f.u.
# DOS at the Fermi energy = 2.17 states/eV/f.u.